Entry 1:
DFT (PBE) results for a relaxed structure of BaCdHgAu.

Energy above the lowest structure with this stoichiometry in eV/atom: 0.0714
DFT total energy in eV for the cell shown: -7.96
Space group: No. 216
Formation energy in meV per atom: -385
Volume in Å³ per cell: 115.3

Cell: 5.463 5.463 5.463 Å, 60.00 60.00 60.00°
Fractional coordinates of all 4 atoms:
Cd: 0.250 0.250 0.250
Ba: 0.750 0.750 0.750
Hg: 0.000 0.000 0.000
Au: 0.500 0.500 0.500

Entry 2:
DFT (PBE) results for a relaxed structure of Ba3Cd2Hg2Au4.

DFT total energy in eV for the cell shown: -26.70
Space group: No. 164
Formation energy in meV per atom: -489
Volume in Å³ per cell: 339.0

Cell: 5.025 5.025 15.500 Å, 90.00 90.00 120.00°
Fractional coordinates of all 11 atoms:
Cd: 0.333 0.667 0.143
Ba: 0.000 0.000 0.716
Cd: 0.667 0.333 0.857
Hg: 0.333 0.667 0.574
Ba: 0.000 0.000 0.000
Au: 0.333 0.667 0.384
Ba: 0.000 0.000 0.284
Au: 0.667 0.333 0.135
Hg: 0.667 0.333 0.426
Au: 0.667 0.333 0.616
Au: 0.333 0.667 0.865

Entry 3:
DFT (PBE) results for a relaxed structure of BaCdHg2Au.

Energy above the lowest structure with this stoichiometry in eV/atom: 0.0000
DFT total energy in eV for the cell shown: -8.78
Space group: No. 44
Formation energy in meV per atom: -412
Volume in Å³ per cell: 141.4

Cell: 4.612 4.678 7.332 Å, 108.60 108.33 90.00°
Fractional coordinates of all 5 atoms:
Hg: 0.051 0.051 0.102
Cd: 0.196 0.696 0.393
Ba: 0.434 0.434 0.868
Au: 0.833 0.833 0.666
Hg: 0.698 0.198 0.396

Entry 4:
DFT (PBE) results for a relaxed structure of Ba2HoCdAu6.

DFT total energy in eV for the cell shown: -32.49
Space group: No. 225
Formation energy in meV per atom: -349
Volume in Å³ per cell: 323.4

Cell: 7.705 7.705 7.705 Å, 60.00 60.00 90.00°
Fractional coordinates of all 10 atoms:
Au: 0.247 0.247 0.506
Cd: 0.000 0.000 0.000
Ba: 0.250 0.750 0.500
Au: 0.753 0.247 0.000
Ba: 0.750 0.250 0.500
Ho: 0.500 0.500 0.000
Au: 0.753 0.753 0.494
Au: 0.247 0.753 0.000
Au: 0.247 0.247 0.000
Au: 0.753 0.753 0.000

Entry 5:
DFT (PBE) results for a relaxed structure of Ba3Cd2In2Au4.

DFT total energy in eV for the cell shown: -31.85
Space group: No. 164
Formation energy in meV per atom: -515
Volume in Å³ per cell: 337.6

Cell: 4.964 4.964 15.824 Å, 90.00 90.00 120.00°
Fractional coordinates of all 11 atoms:
Au: 0.667 0.333 0.135
Au: 0.667 0.333 0.605
Cd: 0.667 0.333 0.859
Ba: 0.000 0.000 0.000
Ba: 0.000 0.000 0.279
Cd: 0.333 0.667 0.141
Ba: 0.000 0.000 0.721
In: 0.667 0.333 0.430
Au: 0.333 0.667 0.865
Au: 0.333 0.667 0.395
In: 0.333 0.667 0.570

Entry 6:
DFT (PBE) results for a relaxed structure of BaCdInAu3.

DFT total energy in eV for the cell shown: -34.87
Space group: No. 63
Formation energy in meV per atom: -338
Volume in Å³ per cell: 334.7

Cell: 7.390 6.841 7.451 Å, 117.32 90.00 90.00°
Fractional coordinates of all 12 atoms:
Cd: 0.750 0.033 0.067
Au: 0.000 0.710 0.000
Ba: 0.250 0.700 0.399
Cd: 0.250 0.967 0.933
Ba: 0.750 0.300 0.601
In: 0.750 0.618 0.237
Au: 0.500 0.290 0.000
Au: 0.750 0.822 0.644
Au: 0.500 0.710 0.000
Au: 0.000 0.290 0.000
In: 0.250 0.382 0.763
Au: 0.250 0.178 0.356

Entry 7:
DFT (PBE) results for a relaxed structure of BaCd2In2Au2.

DFT total energy in eV for the cell shown: -18.11
Space group: No. 166
Formation energy in meV per atom: -332
Volume in Å³ per cell: 188.9

Cell: 4.823 4.823 9.781 Å, 75.73 75.73 60.00°
Fractional coordinates of all 7 atoms:
In: 0.246 0.246 0.262
Au: 0.586 0.586 0.241
Au: 0.414 0.414 0.759
Cd: 0.138 0.138 0.585
In: 0.754 0.754 0.738
Ba: 0.000 0.000 0.000
Cd: 0.862 0.862 0.415

Entry 8:
DFT (PBE) results for a relaxed structure of BaCdInAu6.

DFT total energy in eV for the cell shown: -53.69
Space group: No. 74
Formation energy in meV per atom: -178
Volume in Å³ per cell: 441.8

Cell: 10.488 7.820 8.474 Å, 117.48 128.23 90.00°
Fractional coordinates of all 18 atoms:
Au: 0.312 0.062 0.625
Ba: 0.007 0.757 0.014
Cd: 0.500 0.000 0.000
Au: 0.378 0.185 0.241
Au: 0.378 0.556 0.241
In: 0.000 0.000 0.500
Cd: 0.500 0.500 0.000
In: 0.500 0.000 0.500
Au: 0.864 0.556 0.241
Au: 0.692 0.442 0.385
Ba: 0.993 0.243 0.986
Au: 0.622 0.444 0.759
Au: 0.688 0.938 0.375
Au: 0.136 0.444 0.759
Au: 0.308 0.558 0.615
Au: 0.622 0.815 0.759
Au: 0.864 0.185 0.241
Au: 0.136 0.815 0.759

Entry 9:
DFT (PBE) results for a relaxed structure of Ba2Cd12InAu3.

DFT total energy in eV for the cell shown: -27.05
Space group: No. 166
Formation energy in meV per atom: 19
Volume in Å³ per cell: 570.4

Cell: 8.620 8.620 8.620 Å, 72.99 72.99 72.99°
Fractional coordinates of all 18 atoms:
Cd: 0.645 0.145 0.145
Au: 0.000 0.000 0.500
Cd: 0.300 0.300 0.849
Cd: 0.855 0.855 0.355
Au: 0.500 0.000 0.000
Cd: 0.151 0.700 0.700
Au: 0.000 0.500 0.000
Ba: 0.395 0.395 0.395
In: 0.000 0.000 0.000
Cd: 0.145 0.145 0.645
Cd: 0.300 0.849 0.300
Cd: 0.855 0.355 0.855
Cd: 0.700 0.700 0.151
Ba: 0.605 0.605 0.605
Cd: 0.700 0.151 0.700
Cd: 0.355 0.855 0.855
Cd: 0.145 0.645 0.145
Cd: 0.849 0.300 0.300

Entry 10:
DFT (PBE) results for a relaxed structure of BaCd2InAu4.

DFT total energy in eV for the cell shown: -22.28
Space group: No. 166
Formation energy in meV per atom: -334
Volume in Å³ per cell: 194.9

Cell: 4.761 4.761 10.306 Å, 76.65 76.65 60.00°
Fractional coordinates of all 8 atoms:
Au: 0.402 0.402 0.795
Cd: 0.241 0.241 0.277
Au: 0.598 0.598 0.205
Au: 0.873 0.873 0.382
Au: 0.127 0.127 0.618
Cd: 0.759 0.759 0.723
Ba: 0.000 0.000 0.000
In: 0.500 0.500 0.500

Entry 11:
DFT (PBE) results for a relaxed structure of BaCd4In2Au.

DFT total energy in eV for the cell shown: -15.84
Space group: No. 166
Formation energy in meV per atom: -188
Volume in Å³ per cell: 214.7

Cell: 4.967 4.967 10.453 Å, 76.26 76.26 60.00°
Fractional coordinates of all 8 atoms:
In: 0.750 0.750 0.751
Cd: 0.862 0.862 0.415
Au: 0.500 0.500 0.500
Ba: 0.000 0.000 0.000
Cd: 0.405 0.405 0.785
In: 0.250 0.250 0.249
Cd: 0.138 0.138 0.585
Cd: 0.595 0.595 0.215

Entry 12:
DFT (PBE) results for a relaxed structure of Ba2Cd4InAu3.

DFT total energy in eV for the cell shown: -24.44
Space group: No. 115
Formation energy in meV per atom: -436
Volume in Å³ per cell: 273.6

Cell: 4.648 4.648 12.663 Å, 90.00 90.00 90.00°
Fractional coordinates of all 10 atoms:
Au: 0.000 0.000 0.500
Ba: 0.000 0.500 0.755
Cd: 0.000 0.000 0.000
Cd: 0.000 0.500 0.361
Au: 0.000 0.500 0.139
Cd: 0.500 0.000 0.639
In: 0.500 0.500 0.500
Cd: 0.500 0.500 0.000
Au: 0.500 0.000 0.861
Ba: 0.500 0.000 0.245

Entry 13:
DFT (PBE) results for a relaxed structure of Ba2CdIn4Au3.

DFT total energy in eV for the cell shown: -30.50
Space group: No. 115
Formation energy in meV per atom: -495
Volume in Å³ per cell: 276.0

Cell: 4.879 4.879 11.595 Å, 90.00 90.00 90.00°
Fractional coordinates of all 10 atoms:
In: 0.000 0.000 0.000
Au: 0.000 0.500 0.128
Ba: 0.000 0.500 0.750
Cd: 0.500 0.500 0.500
Au: 0.000 0.000 0.500
Au: 0.500 0.000 0.872
In: 0.500 0.000 0.632
In: 0.000 0.500 0.368
In: 0.500 0.500 0.000
Ba: 0.500 0.000 0.250

Entry 14:
DFT (PBE) results for a relaxed structure of Ba2Cd6InAu.

DFT total energy in eV for the cell shown: -16.45
Space group: No. 225
Formation energy in meV per atom: -110
Volume in Å³ per cell: 328.7

Cell: 7.747 7.747 7.747 Å, 60.00 60.00 90.00°
Fractional coordinates of all 10 atoms:
Cd: 0.744 0.744 0.000
Cd: 0.744 0.744 0.511
Au: 0.500 0.500 0.000
Ba: 0.750 0.250 0.500
Cd: 0.256 0.744 0.000
In: 0.000 0.000 0.000
Ba: 0.250 0.750 0.500
Cd: 0.256 0.256 0.000
Cd: 0.256 0.256 0.489
Cd: 0.744 0.256 0.000

Entry 15:
DFT (PBE) results for a relaxed structure of Ba2CdIn6Au.

DFT total energy in eV for the cell shown: -25.36
Space group: No. 225
Formation energy in meV per atom: -90
Volume in Å³ per cell: 339.3

Cell: 7.829 7.829 7.829 Å, 60.00 60.00 90.00°
Fractional coordinates of all 10 atoms:
Ba: 0.250 0.750 0.500
In: 0.246 0.246 0.000
In: 0.246 0.246 0.508
In: 0.754 0.246 0.000
In: 0.754 0.754 0.492
In: 0.246 0.754 0.000
Ba: 0.750 0.250 0.500
Au: 0.000 0.000 0.000
Cd: 0.500 0.500 0.000
In: 0.754 0.754 0.000

Entry 16:
DFT (PBE) results for a relaxed structure of BaCdIn2Au.

DFT total energy in eV for the cell shown: -6.89
Space group: No. 123
Formation energy in meV per atom: 941
Volume in Å³ per cell: 321.4

Cell: 7.022 6.519 7.022 Å, 90.00 90.00 90.00°
Fractional coordinates of all 5 atoms:
In: 0.000 0.000 0.500
In: 0.500 0.000 0.000
Ba: 0.000 0.000 0.000
Au: 0.500 0.500 0.500
Cd: 0.000 0.500 0.000

Entry 17:
DFT (PBE) results for a relaxed structure of BaCd2InAu2.

DFT total energy in eV for the cell shown: -15.34
Space group: No. 164
Formation energy in meV per atom: -382
Volume in Å³ per cell: 159.4

Cell: 4.912 4.912 7.629 Å, 90.00 90.00 120.00°
Fractional coordinates of all 6 atoms:
In: 0.000 0.000 0.500
Cd: 0.667 0.333 0.692
Ba: 0.000 0.000 0.000
Au: 0.333 0.667 0.711
Cd: 0.333 0.667 0.308
Au: 0.667 0.333 0.289

Entry 18:
DFT (PBE) results for a relaxed structure of BaCd2In2Au.

DFT total energy in eV for the cell shown: -13.66
Space group: No. 139
Formation energy in meV per atom: -192
Volume in Å³ per cell: 197.6

Cell: 4.629 4.629 9.787 Å, 103.68 103.68 90.00°
Fractional coordinates of all 6 atoms:
Cd: 0.146 0.146 0.291
Ba: 0.500 0.500 0.000
Cd: 0.854 0.854 0.709
In: 0.250 0.750 0.500
Au: 0.000 0.000 0.000
In: 0.750 0.250 0.500

Entry 19:
DFT (PBE) results for a relaxed structure of Ba2CdIn3Au4.

DFT total energy in eV for the cell shown: -31.36
Space group: No. 115
Formation energy in meV per atom: -527
Volume in Å³ per cell: 272.9

Cell: 4.944 4.944 11.163 Å, 90.00 90.00 90.00°
Fractional coordinates of all 10 atoms:
In: 0.000 0.500 0.120
In: 0.500 0.000 0.880
Cd: 0.500 0.500 0.500
Au: 0.000 0.000 0.000
Au: 0.500 0.500 0.000
Ba: 0.500 0.000 0.243
In: 0.000 0.000 0.500
Au: 0.000 0.500 0.369
Au: 0.500 0.000 0.631
Ba: 0.000 0.500 0.757

Entry 20:
DFT (PBE) results for a relaxed structure of Ba2Cd3InAu4.

DFT total energy in eV for the cell shown: -27.36
Space group: No. 115
Formation energy in meV per atom: -492
Volume in Å³ per cell: 273.2

Cell: 5.046 5.046 10.730 Å, 90.00 90.00 90.00°
Fractional coordinates of all 10 atoms:
Au: 0.000 0.000 0.000
Au: 0.500 0.000 0.620
In: 0.500 0.500 0.500
Cd: 0.000 0.500 0.121
Au: 0.500 0.500 0.000
Ba: 0.000 0.500 0.765
Au: 0.000 0.500 0.380
Cd: 0.000 0.000 0.500
Cd: 0.500 0.000 0.879
Ba: 0.500 0.000 0.235

Entry 21:
DFT (PBE) results for a relaxed structure of Ba3Cd2InAu6.

DFT total energy in eV for the cell shown: -35.70
Space group: No. 164
Formation energy in meV per atom: -475
Volume in Å³ per cell: 353.3

Cell: 6.733 6.733 9.000 Å, 90.00 90.00 120.00°
Fractional coordinates of all 12 atoms:
In: 0.000 0.000 0.500
Au: 0.374 0.187 0.703
Au: 0.626 0.813 0.297
Au: 0.187 0.374 0.297
Ba: 0.333 0.667 0.636
Au: 0.813 0.626 0.703
Ba: 0.667 0.333 0.364
Ba: 0.000 0.000 0.000
Au: 0.187 0.813 0.297
Au: 0.813 0.187 0.703
Cd: 0.667 0.333 0.964
Cd: 0.333 0.667 0.036

Entry 22:
DFT (PBE) results for a relaxed structure of Ba6Cd2IrAu.

DFT total energy in eV for the cell shown: -57.42
Space group: No. 14
Formation energy in meV per atom: -321
Volume in Å³ per cell: 888.1

Cell: 8.123 9.028 12.112 Å, 90.00 89.29 90.00°
Fractional coordinates of all 20 atoms:
Ba: 0.620 0.026 0.259
Ba: 0.120 0.474 0.759
Ba: 0.314 0.674 0.055
Ba: 0.686 0.326 0.945
Ir: 0.500 0.000 0.500
Ba: 0.814 0.826 0.555
Cd: 0.451 0.396 0.251
Ba: 0.380 0.974 0.741
Ba: 0.665 0.302 0.556
Ba: 0.335 0.698 0.444
Cd: 0.549 0.604 0.749
Cd: 0.951 0.104 0.751
Ir: 0.000 0.500 0.000
Ba: 0.835 0.802 0.944
Ba: 0.880 0.526 0.241
Au: 0.000 0.500 0.500
Ba: 0.165 0.198 0.056
Cd: 0.049 0.896 0.249
Ba: 0.186 0.174 0.445
Au: 0.500 0.000 0.000